# 1
The following is a GGA-PBE calculation of a relaxed MnAl5Ga crystal, from Alexandria via LeMat-Bulk.

Computed properties:
Energy relative to the elements = 0.137 eV/atom
Crystal system = monoclinic
Density = 3.46 g cm⁻³
Fermi-level density of states = 6.58 states/eV per cell

Cell lengths 5.7514, 5.7514, 8.6060 Å; angles 110.66, 110.66, 81.87 degrees
Closest atoms and distances in Å follow each position.
Element x y z (fractional)
1 Mn 0.0000 0.5000 0.0000  6 Al 2.34-2.52, 2 Ga 2.56
2 Mn 0.5000 0.0000 0.5000  6 Al 2.34-2.52, 2 Ga 2.56
3 Al 0.0957 0.9043 0.2500  1 Ga 2.42, 2 Mn 2.52, 2 Al 2.58
4 Al 0.1556 0.6607 0.8427  1 Mn 2.34
5 Al 0.1691 0.3217 0.5038  1 Mn 2.46, 1 Ga 2.54, 2 Al 2.58-2.62
6 Al 0.3217 0.1691 0.0038  1 Mn 2.46, 1 Ga 2.54, 2 Al 2.58-2.62
7 Al 0.3393 0.8444 0.6573  1 Mn 2.34
8 Al 0.6607 0.1556 0.3427  1 Mn 2.34
9 Al 0.6783 0.8309 0.9962  1 Mn 2.46, 1 Ga 2.54, 2 Al 2.58-2.62
10 Al 0.8309 0.6783 0.4962  1 Mn 2.46, 1 Ga 2.54, 2 Al 2.58-2.62
11 Al 0.8444 0.3393 0.1573  1 Mn 2.34
12 Al 0.9043 0.0957 0.7500  1 Ga 2.42, 2 Mn 2.52, 2 Al 2.58
13 Ga 0.4162 0.5838 0.2500  3 Al 2.42-2.54, 2 Mn 2.56
14 Ga 0.5838 0.4162 0.7500  3 Al 2.42-2.54, 2 Mn 2.56

=====

# 2
The following is a GGA-PBE calculation of a relaxed Hf2MnIrW crystal, from Alexandria via LeMat-Bulk.

Computed properties:
Energy relative to the elements = 1.089 eV/atom
Crystal system = tetragonal
Density = 12.30 g cm⁻³
Fermi-level density of states = 5.84 states/eV per cell

Cell lengths 4.9641, 4.9641, 4.3171 Å; angles 90.00, 90.00, 90.00 degrees
Closest atoms and distances in Å follow each position.
Element x y z (fractional)
1 Hf 0.0000 0.5000 0.0000  2 Ir 2.48
2 Hf 0.5000 0.0000 0.0000  2 Ir 2.48
3 Mn 0.0000 0.0000 0.5000  2 Ir 2.16
4 Ir 0.0000 0.0000 0.0000  2 Mn 2.16
5 W 0.5000 0.5000 0.5000  8 Hf 3.29, 4 Mn 3.51

=====

# 3
The following is a GGA-PBE calculation of a relaxed CaCrHg crystal, from Alexandria via LeMat-Bulk.

Computed properties:
Energy relative to the elements = 0.187 eV/atom
Crystal system = tetragonal
Density = 6.70 g cm⁻³
Fermi-level density of states = 2.32 states/eV per cell

Cell lengths 5.8936, 5.8936, 5.8936 Å; angles 143.35, 143.35, 52.80 degrees
Closest atoms and distances in Å follow each position.
Element x y z (fractional)
1 Ca 0.0000 0.0000 0.0000  5 Cr 3.24-3.32, 5 Hg 3.29
2 Cr 0.3072 0.3072 0.0000  4 Hg 2.91, 1 Ca 3.24
3 Hg 0.6880 0.6880 0.0000  4 Cr 2.91

=====

# 4
The following is a GGA-PBE calculation of a relaxed K2TaAs crystal, from Alexandria via LeMat-Bulk.

Computed properties:
Energy relative to the elements = 0.591 eV/atom
Crystal system = tetragonal
Density = 2.80 g cm⁻³
Fermi-level density of states = 6.84 states/eV per cell

Cell lengths 9.2545, 9.2545, 9.2545 Å; angles 94.16, 94.16, 148.75 degrees
Closest atoms and distances in Å follow each position.
Element x y z (fractional)
1 K 0.3750 0.1957 0.3207  2 As 3.33
2 K 0.8043 0.1250 0.1793  2 As 3.33
3 K 0.8750 0.0543 0.6793  2 As 3.33
4 K 0.9457 0.6250 0.8207  2 As 3.33
5 Ta 0.2500 0.7500 0.5000  2 As 2.49
6 Ta 0.5000 0.5000 0.0000  2 As 2.49
7 As 0.0000 0.0000 0.0000  2 Ta 2.49
8 As 0.7500 0.2500 0.5000  2 Ta 2.49

=====

# 5
The following is a GGA-PBE calculation of a relaxed SiGeO3 crystal, from Alexandria via LeMat-Bulk.

Computed properties:
Raw formation energy = -10.3 eV per formula unit
Crystal system = orthorhombic
Density = 3.83 g cm⁻³
Fermi-level density of states = 0.00 states/eV per cell

Cell lengths 4.7241, 5.4318, 20.0833 Å; angles 90.00, 90.00, 90.00 degrees
Closest atoms and distances in Å follow each position.
Element x y z (fractional)
1 Si 0.1966 0.0135 0.2500  4 O 1.64-1.66
2 Si 0.1966 0.4865 0.7500  4 O 1.64-1.66
3 Si 0.1990 0.2500 0.0000  4 O 1.64-1.65
4 Si 0.1990 0.2500 0.5000  4 O 1.64-1.65
5 Si 0.8010 0.7500 0.0000  4 O 1.64-1.65
6 Si 0.8010 0.7500 0.5000  4 O 1.64-1.65
7 Si 0.8034 0.5135 0.2500  4 O 1.64-1.66
8 Si 0.8034 0.9865 0.7500  4 O 1.64-1.66
9 Ge 0.3198 0.6253 0.1253  2 O 1.96-1.97
10 Ge 0.3198 0.6253 0.3747  2 O 1.96-1.97
11 Ge 0.3198 0.8747 0.6253  2 O 1.96-1.97
12 Ge 0.3198 0.8747 0.8747  2 O 1.96-1.97
13 Ge 0.6802 0.1253 0.1253  2 O 1.96-1.97
14 Ge 0.6802 0.1253 0.3747  2 O 1.96-1.97
15 Ge 0.6802 0.3747 0.6253  2 O 1.96-1.97
16 Ge 0.6802 0.3747 0.8747  2 O 1.96-1.97
17 O 0.0000 0.0000 0.0000  2 Si 1.65
18 O 0.0000 0.0000 0.5000  2 Si 1.65
19 O 0.0000 0.5000 0.0000  2 Si 1.65
20 O 0.0000 0.5000 0.5000  2 Si 1.65
21 O 0.0270 0.2219 0.7500  2 Si 1.65-1.66
22 O 0.0270 0.2781 0.2500  2 Si 1.65-1.66
23 O 0.3871 0.5180 0.6824  1 Si 1.64
24 O 0.3871 0.5180 0.8176  1 Si 1.64
25 O 0.3871 0.9820 0.1824  1 Si 1.64
26 O 0.3871 0.9820 0.3176  1 Si 1.64
27 O 0.3925 0.2221 0.5673  1 Si 1.64
28 O 0.3925 0.2221 0.9327  1 Si 1.64
29 O 0.3925 0.2779 0.0673  1 Si 1.64
30 O 0.3925 0.2779 0.4327  1 Si 1.64
31 O 0.6075 0.7221 0.5673  1 Si 1.64
32 O 0.6075 0.7221 0.9327  1 Si 1.64
33 O 0.6075 0.7779 0.0673  1 Si 1.64
34 O 0.6075 0.7779 0.4327  1 Si 1.64
35 O 0.6129 0.0180 0.6824  1 Si 1.64
36 O 0.6129 0.0180 0.8176  1 Si 1.64
37 O 0.6129 0.4820 0.1824  1 Si 1.64
38 O 0.6129 0.4820 0.3176  1 Si 1.64
39 O 0.9730 0.7219 0.7500  2 Si 1.65-1.66
40 O 0.9730 0.7781 0.2500  2 Si 1.65-1.66

=====

What did the first record say?
The following is a GGA-PBE calculation of a relaxed MnAl5Ga crystal, from Alexandria via LeMat-Bulk.

Computed properties:
Energy relative to the elements = 0.137 eV/atom
Crystal system = monoclinic
Density = 3.46 g cm⁻³
Fermi-level density of states = 6.58 states/eV per cell

Cell lengths 5.7514, 5.7514, 8.6060 Å; angles 110.66, 110.66, 81.87 degrees
Closest atoms and distances in Å follow each position.
Element x y z (fractional)
1 Mn 0.0000 0.5000 0.0000  6 Al 2.34-2.52, 2 Ga 2.56
2 Mn 0.5000 0.0000 0.5000  6 Al 2.34-2.52, 2 Ga 2.56
3 Al 0.0957 0.9043 0.2500  1 Ga 2.42, 2 Mn 2.52, 2 Al 2.58
4 Al 0.1556 0.6607 0.8427  1 Mn 2.34
5 Al 0.1691 0.3217 0.5038  1 Mn 2.46, 1 Ga 2.54, 2 Al 2.58-2.62
6 Al 0.3217 0.1691 0.0038  1 Mn 2.46, 1 Ga 2.54, 2 Al 2.58-2.62
7 Al 0.3393 0.8444 0.6573  1 Mn 2.34
8 Al 0.6607 0.1556 0.3427  1 Mn 2.34
9 Al 0.6783 0.8309 0.9962  1 Mn 2.46, 1 Ga 2.54, 2 Al 2.58-2.62
10 Al 0.8309 0.6783 0.4962  1 Mn 2.46, 1 Ga 2.54, 2 Al 2.58-2.62
11 Al 0.8444 0.3393 0.1573  1 Mn 2.34
12 Al 0.9043 0.0957 0.7500  1 Ga 2.42, 2 Mn 2.52, 2 Al 2.58
13 Ga 0.4162 0.5838 0.2500  3 Al 2.42-2.54, 2 Mn 2.56
14 Ga 0.5838 0.4162 0.7500  3 Al 2.42-2.54, 2 Mn 2.56

=====

Number 5 is which compound?
SiGeO3

=====

What did the fifth record say?
The following is a GGA-PBE calculation of a relaxed SiGeO3 crystal, from Alexandria via LeMat-Bulk.

Computed properties:
Raw formation energy = -10.3 eV per formula unit
Crystal system = orthorhombic
Density = 3.83 g cm⁻³
Fermi-level density of states = 0.00 states/eV per cell

Cell lengths 4.7241, 5.4318, 20.0833 Å; angles 90.00, 90.00, 90.00 degrees
Closest atoms and distances in Å follow each position.
Element x y z (fractional)
1 Si 0.1966 0.0135 0.2500  4 O 1.64-1.66
2 Si 0.1966 0.4865 0.7500  4 O 1.64-1.66
3 Si 0.1990 0.2500 0.0000  4 O 1.64-1.65
4 Si 0.1990 0.2500 0.5000  4 O 1.64-1.65
5 Si 0.8010 0.7500 0.0000  4 O 1.64-1.65
6 Si 0.8010 0.7500 0.5000  4 O 1.64-1.65
7 Si 0.8034 0.5135 0.2500  4 O 1.64-1.66
8 Si 0.8034 0.9865 0.7500  4 O 1.64-1.66
9 Ge 0.3198 0.6253 0.1253  2 O 1.96-1.97
10 Ge 0.3198 0.6253 0.3747  2 O 1.96-1.97
11 Ge 0.3198 0.8747 0.6253  2 O 1.96-1.97
12 Ge 0.3198 0.8747 0.8747  2 O 1.96-1.97
13 Ge 0.6802 0.1253 0.1253  2 O 1.96-1.97
14 Ge 0.6802 0.1253 0.3747  2 O 1.96-1.97
15 Ge 0.6802 0.3747 0.6253  2 O 1.96-1.97
16 Ge 0.6802 0.3747 0.8747  2 O 1.96-1.97
17 O 0.0000 0.0000 0.0000  2 Si 1.65
18 O 0.0000 0.0000 0.5000  2 Si 1.65
19 O 0.0000 0.5000 0.0000  2 Si 1.65
20 O 0.0000 0.5000 0.5000  2 Si 1.65
21 O 0.0270 0.2219 0.7500  2 Si 1.65-1.66
22 O 0.0270 0.2781 0.2500  2 Si 1.65-1.66
23 O 0.3871 0.5180 0.6824  1 Si 1.64
24 O 0.3871 0.5180 0.8176  1 Si 1.64
25 O 0.3871 0.9820 0.1824  1 Si 1.64
26 O 0.3871 0.9820 0.3176  1 Si 1.64
27 O 0.3925 0.2221 0.5673  1 Si 1.64
28 O 0.3925 0.2221 0.9327  1 Si 1.64
29 O 0.3925 0.2779 0.0673  1 Si 1.64
30 O 0.3925 0.2779 0.4327  1 Si 1.64
31 O 0.6075 0.7221 0.5673  1 Si 1.64
32 O 0.6075 0.7221 0.9327  1 Si 1.64
33 O 0.6075 0.7779 0.0673  1 Si 1.64
34 O 0.6075 0.7779 0.4327  1 Si 1.64
35 O 0.6129 0.0180 0.6824  1 Si 1.64
36 O 0.6129 0.0180 0.8176  1 Si 1.64
37 O 0.6129 0.4820 0.1824  1 Si 1.64
38 O 0.6129 0.4820 0.3176  1 Si 1.64
39 O 0.9730 0.7219 0.7500  2 Si 1.65-1.66
40 O 0.9730 0.7781 0.2500  2 Si 1.65-1.66

=====

Number 4 is which compound?
K2TaAs